FeF: relaxed, PBE with a Hubbard U.

## Properties
total energy: -5.02 eV/atom
space group: No. 19
total magnetic moment: 29.7 Bohr magnetons per cell
V: 28 Å³/f.u.

a = 4.746 Å, b = 5.530 Å, c = 8.522 Å
α = 90.00°, β = 90.00°, γ = 90.00°
Sites, in units of the cell vectors:
Fe1 0.198 0.047 0.275
Fe2 0.247 0.405 0.501
Fe3 0.253 0.595 0.001
Fe4 0.302 0.953 0.775
Fe5 0.698 0.453 0.725
Fe6 0.747 0.095 0.499
Fe7 0.753 0.905 0.999
Fe8 0.802 0.547 0.225
F1 0.078 0.703 0.379
F2 0.088 0.606 0.698
F3 0.412 0.394 0.198
F4 0.422 0.297 0.879
F5 0.578 0.797 0.621
F6 0.588 0.894 0.302
F7 0.912 0.106 0.802
F8 0.922 0.203 0.121